#one
DyTcMo | PBE-GGA | relaxed

```
DyTcMo
1.0
3.224 0.000 0.000
0.000 3.224 0.000
-1.612 -1.612 5.429
Mo Tc Dy
1 1 1
Cartesian
0.000 0.000 3.376
1.612 1.612 2.032
0.000 0.000 0.020
```

**SG**: No. 107
**Total magnetization**: 0.00 Bohr magnetons per cell


#two
DyTcMo | PBE-GGA | relaxed

```
DyTcMo
1.0
5.113 0.225 0.000
-2.252 4.596 0.000
-1.431 -2.410 4.840
Dy Mo Tc
2 2 2
Cartesian
2.694 1.661 0.000
0.168 3.160 0.000
1.431 2.410 3.332
0.000 0.000 1.508
2.557 0.112 2.420
-1.126 2.298 2.420
```

**SG**: No. 69
**Total magnetization**: 0.00 Bohr magnetons per cell


#three
DyTcMo | PBE-GGA | relaxed

```
DyTcMo
1.0
4.739 -0.017 -2.691
-3.097 4.483 -0.107
-0.038 0.017 5.450
Dy Tc Mo
2 2 2
Cartesian
0.771 0.562 4.072
0.834 3.921 -1.421
-1.567 2.250 2.671
2.351 0.000 1.379
0.802 2.242 1.325
-1.548 2.242 -0.054
```

**SG**: No. 74
**Total magnetization**: 0.00 Bohr magnetons per cell


Which structure is the most stable? The one labeled #three.


#one
DyTh2Mo | PBE-GGA | relaxed

```
DyTh2Mo
1.0
-0.378 1.873 3.050
2.981 -1.533 1.311
4.652 6.255 -3.265
Mo Th Dy
1 2 1
Cartesian
1.302 0.170 2.181
3.675 4.942 -2.580
0.977 1.313 -0.685
3.628 3.297 0.548
```

**SG**: No. 123
**Total magnetization**: 0.00 Bohr magnetons per cell


#two
DyTh2Mo | PBE-GGA | relaxed

```
DyTh2Mo
1.0
3.482 0.000 0.000
1.741 3.015 0.000
1.741 1.005 10.960
Mo Th Dy
1 2 1
Cartesian
3.482 2.010 5.480
1.741 1.005 7.685
5.223 3.015 3.276
0.000 0.000 0.000
```

**SG**: No. 166
**Total magnetization**: 0.00 Bohr magnetons per cell


Which structure is the most stable? The one labeled #one.


#one
DyNO | PBE-GGA | relaxed

```
DyNO
1.0
3.174 0.000 0.000
0.000 3.174 0.000
-1.587 -1.587 7.952
Dy N O
2 2 2
Cartesian
0.000 0.000 2.503
1.587 1.587 5.449
1.587 1.587 0.604
0.000 0.000 7.348
0.000 0.000 4.805
1.587 1.587 3.146
```

**SG**: No. 139
**Total magnetization**: 0.00 Bohr magnetons per cell


#two
DyNO | PBE-GGA | relaxed

```
DyNO
1.0
-0.942 -0.156 -3.190
-3.049 -5.075 1.148
-6.247 4.125 1.643
N Dy O
4 4 4
Cartesian
-5.040 -0.219 0.630
-5.197 -0.887 -1.029
-0.557 -0.018 -0.704
-9.681 -1.088 0.305
-7.667 0.008 1.395
-2.570 -1.114 -1.793
-4.936 -2.707 0.721
-5.301 1.601 -1.120
-2.812 -2.253 0.071
-7.425 1.147 -0.470
-7.141 -2.196 1.347
-3.097 1.090 -1.746
```

**SG**: No. 62
**Total magnetization**: 0.00 Bohr magnetons per cell


Which structure is the most stable? The one labeled #one.


#one
DyPN2 | PBE-GGA | relaxed

```
DyPN2
1.0
0.243 -3.182 -1.683
-2.024 -2.618 4.656
-5.698 0.690 -2.089
Dy P N
2 2 4
Cartesian
-2.939 -1.427 1.424
-3.472 -1.509 -2.358
-5.748 -1.089 0.393
-0.664 -1.847 -1.327
-5.375 -1.800 1.782
-4.435 -0.584 -0.380
-1.976 -2.351 -0.554
-3.061 -3.754 1.940
```

**SG**: No. 11
**Total magnetization**: 0.00 Bohr magnetons per cell


#two
DyPN2 | PBE-GGA | relaxed

```
DyPN2
1.0
2.894 0.000 0.000
1.447 2.506 0.000
1.447 0.835 6.633
P N Dy
1 2 1
Cartesian
2.894 1.671 3.317
1.447 0.835 4.255
4.341 2.506 2.378
0.000 0.000 0.000
```

**SG**: No. 166
**Total magnetization**: 0.00 Bohr magnetons per cell


Which structure is the most stable? The one labeled #one.


#one
Dy2PN | PBE-GGA | relaxed

```
Dy2PN
1.0
-1.931 -3.655 2.914
2.964 -3.753 1.645
1.090 -0.679 4.260
P N Dy
1 1 2
Cartesian
0.000 0.000 0.000
1.061 -4.043 4.410
1.644 -5.941 6.804
0.479 -2.146 2.015
```

**SG**: No. 166
**Total magnetization**: 0.00 Bohr magnetons per cell


#two
Dy2PN | PBE-GGA | relaxed

```
Dy2PN
1.0
3.641 0.000 0.000
1.821 3.153 0.000
1.821 1.051 6.555
Dy P N
2 1 1
Cartesian
1.821 1.051 4.750
1.821 1.051 1.755
5.462 3.153 6.548
3.641 2.102 3.333
```

**SG**: No. 160
**Total magnetization**: 0.00 Bohr magnetons per cell


Which structure is the most stable? The one labeled #two.


#one
DyPa2N4 | PBE-GGA | relaxed

```
DyPa2N4
1.0
-0.847 2.244 2.567
-5.094 1.409 -2.913
0.216 -5.692 2.644
Dy Pa N
1 2 4
Cartesian
0.000 0.000 0.000
-1.642 -2.304 1.473
-4.083 0.265 0.825
-2.280 -0.718 -0.125
-3.445 -1.321 2.423
-5.160 -1.788 -0.140
-0.565 -0.251 2.438
```

**SG**: No. 12
**Total magnetization**: 0.00 Bohr magnetons per cell


#two
DyPa2N4 | PBE-GGA | relaxed

```
DyPa2N4
1.0
-0.336 5.035 3.801
-5.884 -1.931 -1.247
3.124 -4.788 2.689
Dy Pa N
2 4 8
Cartesian
0.000 0.000 0.000
-2.413 1.614 2.899
0.580 1.885 4.490
-0.529 -1.146 3.157
-2.979 -3.508 2.376
-3.265 -0.600 0.463
-4.008 -2.840 0.457
-3.099 -0.712 2.732
-1.308 -4.776 1.295
1.134 -3.414 2.940
-1.506 -3.094 4.062
0.998 -0.884 4.826
-0.083 1.067 2.471
-1.053 -1.908 1.076
```

**SG**: No. 122
**Total magnetization**: 0.00 Bohr magnetons per cell


Which structure is the most stable? The one labeled #two.